1.
This record from Alexandria via LeMat-Bulk describes a relaxed structure of LiTcIr2. The functional is GGA-PBEsol.

Properties
For the volume, the calculation gives 104 Å³ per cell. The energy relative to the lowest polymorph listed for this composition is 57.7 meV/atom. For the energy of formation, the calculation gives 0.063 eV/atom. Its density of states at the Fermi level is 5.4 states/eV per cell.

Structure (CIF):
```
data_LiTcIr2
_chemical_formula_sum 'Li2 Tc2 Ir4'
_space_group_name_H-M_alt 'I m m m'
_space_group_IT_number 71
_space_group_name_Hall '-I 2 2'
_cell_length_a 2.7951
_cell_length_b 4.4118
_cell_length_c 8.3968
_cell_angle_alpha 90.00
_cell_angle_beta 90.00
_cell_angle_gamma 90.00
loop_
_atom_site_label
_atom_site_type_symbol
_atom_site_fract_x
_atom_site_fract_y
_atom_site_fract_z
Li1 Li 0.0000 0.0000 0.0000
Tc1 Tc 0.0000 0.0000 0.5000
Ir1 Ir 0.0000 0.5000 0.2665
```

2.
This record from Alexandria via LeMat-Bulk describes a relaxed structure of K2Bi2Pd. The functional is GGA-PBEsol.

Properties
For the volume, the calculation gives 306 Å³ per cell. For the energy of formation, the calculation gives -0.294 eV/atom. Its density of states at the Fermi level is 5.8 states/eV per cell.

Structure (CIF):
```
data_K2Bi2Pd
_chemical_formula_sum 'K4 Bi4 Pd2'
_space_group_name_H-M_alt 'P 4/m b m'
_space_group_IT_number 127
_space_group_name_Hall '-P 4 2ab'
_cell_length_a 7.2391
_cell_length_b 7.2391
_cell_length_c 5.8478
_cell_angle_alpha 90.00
_cell_angle_beta 90.00
_cell_angle_gamma 90.00
loop_
_atom_site_label
_atom_site_type_symbol
_atom_site_fract_x
_atom_site_fract_y
_atom_site_fract_z
K1 K 0.1683 0.3317 0.0000
Bi1 Bi 0.1506 0.6506 0.5000
Pd1 Pd 0.0000 0.0000 0.5000
```

3.
This record from Alexandria via LeMat-Bulk describes a relaxed structure of K3LiMn4Mo6O24. The functional is GGA-PBEsol.

Properties
For the volume, the calculation gives 3527 Å³ per cell. The calculation puts the uncorrected formation energy at -1.94 eV per atom.

Structure (CIF):
```
data_K3LiMn4Mo6O24
_chemical_formula_sum 'K18 Li6 Mn24 Mo36 O144'
_space_group_name_H-M_alt 'R 3 c'
_space_group_IT_number 161
_space_group_name_Hall 'R 3 -2"c'
_cell_length_a 14.3753
_cell_length_b 14.3753
_cell_length_c 19.7079
_cell_angle_alpha 90.00
_cell_angle_beta 90.00
_cell_angle_gamma 120.00
loop_
_atom_site_label
_atom_site_type_symbol
_atom_site_fract_x
_atom_site_fract_y
_atom_site_fract_z
K1 K 0.0870 0.4137 0.0000
Li1 Li 0.0000 0.0000 0.1340
Mn1 Mn 0.0000 0.0000 0.3900
Mn2 Mn 0.1201 0.4496 0.8024
Mo1 Mo 0.0129 0.1828 0.5260
Mo2 Mo 0.1666 0.4936 0.4117
O1 O 0.0192 0.1346 0.4443
O2 O 0.0253 0.4211 0.4181
O3 O 0.0578 0.1351 0.1948
O4 O 0.0705 0.3551 0.1890
O5 O 0.0719 0.5234 0.7283
O6 O 0.1301 0.0238 0.8255
O7 O 0.1395 0.0672 0.5798
O8 O 0.2008 0.4027 0.8745
```

4.
This record from Alexandria via LeMat-Bulk describes a relaxed structure of AgPbAu2. The functional is GGA-PBEsol.

Properties
For the volume, the calculation gives 157 Å³ per cell. For the energy of formation, the calculation gives 0.063 eV/atom. Its density of states at the Fermi level is 2.9 states/eV per cell.

Structure (CIF):
```
data_AgPbAu2
_chemical_formula_sum 'Ag2 Pb2 Au4'
_space_group_name_H-M_alt 'C m m m'
_space_group_IT_number 65
_space_group_name_Hall '-C 2 2'
_cell_length_a 5.8759
_cell_length_b 7.1220
_cell_length_c 3.7488
_cell_angle_alpha 90.00
_cell_angle_beta 90.00
_cell_angle_gamma 90.00
loop_
_atom_site_label
_atom_site_type_symbol
_atom_site_fract_x
_atom_site_fract_y
_atom_site_fract_z
Ag1 Ag 0.0000 0.0000 0.0000
Pb1 Pb 0.0000 0.5000 0.0000
Au1 Au 0.2500 0.2500 0.5000
```

5.
This record from Alexandria via LeMat-Bulk describes a relaxed structure of MgCr2W. The functional is GGA-PBEsol.

Properties
For the volume, the calculation gives 111 Å³ per cell. The energy relative to the lowest polymorph listed for this composition is 190.0 meV/atom. For the energy of formation, the calculation gives 0.654 eV/atom. Its density of states at the Fermi level is 8.8 states/eV per cell.

Structure (CIF):
```
data_MgCr2W
_chemical_formula_sum 'Mg2 Cr4 W2'
_space_group_name_H-M_alt 'I -4 m 2'
_space_group_IT_number 119
_space_group_name_Hall 'I -4 -2'
_cell_length_a 3.5962
_cell_length_b 3.5962
_cell_length_c 8.5617
_cell_angle_alpha 90.00
_cell_angle_beta 90.00
_cell_angle_gamma 90.00
loop_
_atom_site_label
_atom_site_type_symbol
_atom_site_fract_x
_atom_site_fract_y
_atom_site_fract_z
Mg1 Mg 0.0000 0.0000 0.0000
Cr1 Cr 0.0000 0.0000 0.5000
Cr2 Cr 0.0000 0.5000 0.7500
W1 W 0.0000 0.5000 0.2500
```

6.
This record from Alexandria via LeMat-Bulk describes a relaxed structure of TlP. The functional is GGA-PBEsol.

Properties
For the volume, the calculation gives 96 Å³ per cell. For the energy of formation, the calculation gives 0.084 eV/atom. Its density of states at the Fermi level is 1.4 states/eV per cell.

Structure (CIF):
```
data_TlP
_chemical_formula_sum 'Tl2 P2'
_space_group_name_H-M_alt 'P 1 21/m 1'
_space_group_IT_number 11
_cell_length_a 5.0549
_cell_length_b 3.2791
_cell_length_c 6.0622
_cell_angle_alpha 90.00
_cell_angle_beta 107.54
_cell_angle_gamma 90.00
loop_
_space_group_symop_operation_xyz
'x,y,z'
'-x,-y,-z'
'-x,y+1/2,-z'
'x,-y+1/2,z'
loop_
_atom_site_label
_atom_site_type_symbol
_atom_site_fract_x
_atom_site_fract_y
_atom_site_fract_z
Tl1 Tl 0.1837 0.2500 0.3121
P1 P 0.3929 0.2500 0.8853
```